# 1
Al3Cl PBE optimized geometry; M_tot = 0.000 μB per atom; formation energy from raw total energies = -0.03 eV per atom; mass density = 2.44 g/cm³
1.0
-1.456 2.301 5.904
1.456 -2.301 5.904
1.456 2.301 -5.904
Al Cl
3 1
direct
0.000 0.000 0.000
0.207 0.707 0.500
0.793 0.293 0.500
0.500 0.500 0.000


# 2
Al5Cl3 PBE optimized geometry; M_tot = 0.000 μB per atom; formation energy from raw total energies = -0.15 eV per atom; mass density = 2.49 g/cm³
1.0
3.476 -4.253 0.000
3.476 4.253 0.000
0.000 0.000 5.446
Al Cl
5 3
direct
0.000 0.000 0.000
0.000 0.500 0.000
0.202 0.202 0.500
0.500 0.000 0.000
0.798 0.798 0.500
0.309 0.691 0.500
0.500 0.500 0.000
0.691 0.309 0.500